No. 1
First-principles (PBE) data for crystalline Ba2TlBr at its relaxed geometry, as listed in the Alexandria database.

## Properties
Its crystal system is monoclinic. Its energy above the most stable polymorph in this dataset is 0.0000 eV per atom. The value obtained for the formation energy from raw total energies is -990 meV/atom.

a b c (Å): 4.3707 4.2256 9.4275
angles (deg): 90.00 90.24 90.00
Last column: nearest neighbours and their distance in Å.
Space group P2/m (No. 10)
One atom of each set of equivalent atoms:
Ba1 0.0019 0.0000 0.2225  2 Br 3.36, 4 Tl 3.69
Tl1 0.5000 0.5000 0.0000  8 Ba 3.69
Br1 0.0000 0.5000 0.5000  4 Ba 3.36

=====

No. 2
First-principles (PBE) data for crystalline PmSm5Sn6 at its relaxed geometry, as listed in the Alexandria database.

## Properties
Its crystal system is monoclinic. Its formation enthalpy at 0 K is -7.73 eV/f.u.

a b c (Å): 5.8180 14.4111 8.6163
angles (deg): 90.00 101.66 90.00
Last column: nearest neighbours and their distance in Å.
Space group C2/m (No. 12)
One atom of each set of equivalent atoms:
Pm1 0.0000 0.0000 0.0000  6 Sn 3.24-3.26
Sm1 0.0000 0.0000 0.5000  6 Sn 3.22-3.24
Sm2 0.0000 0.3328 0.0000  6 Sn 3.22-3.25
Sm3 0.0000 0.3340 0.5000  6 Sn 3.22-3.25
Sn1 0.0009 0.1671 0.7491  5 Sm 3.22-3.25, 1 Pm 3.24
Sn2 0.0034 0.5000 0.2494  5 Sm 3.23-3.24, 1 Pm 3.26

=====

No. 3
First-principles (PBE) data for crystalline Rb2Cd12InAu3 at its relaxed geometry, as listed in the Alexandria database.

## Properties
Its crystal system is trigonal. Its formation enthalpy at 0 K is 1.16 eV/f.u.

a b c (Å): 9.8651 9.8651 21.6181
angles (deg): 90.00 90.00 120.00
Last column: nearest neighbours and their distance in Å.
Space group R-3m (No. 166, hexagonal axes)
One atom of each set of equivalent atoms:
Rb1 0.0000 0.0000 0.0966  6 Cd 3.69-3.88
Cd1 0.0054 0.5027 0.1306  1 Au 2.82, 1 In 2.91, 2 Cd 3.03
Cd2 0.1087 0.5544 0.3881  2 Au 2.78, 2 Cd 3.03
In1 0.0000 0.0000 0.5000  6 Cd 2.91
Au1 0.0000 0.5000 0.0000  6 Cd 2.78-2.82